Model one:
DFT (GGA-PBE) results for crystalline CoP2AuCl at its relaxed geometry.

Lattice parameters (Å, degrees): 4.316 4.316 4.845 90.00 90.00 90.00
Space group P4/mmm (No. 123)
Symmetry-distinct sites (fractional):
Co (0.000, 0.000, 0.000) (multiplicity 1)
P (0.000, 0.500, 0.000) (multiplicity 2)
Au (0.500, 0.500, 0.500) (multiplicity 1)
Cl (0.000, 0.000, 0.500) (multiplicity 1)



Model two:
DFT (GGA-PBE) results for crystalline CoP2AuCl at its relaxed geometry.

Lattice parameters (Å, degrees): 4.780 4.780 5.174 90.00 90.00 90.00
Space group P4/mmm (No. 123)
Symmetry-distinct sites (fractional):
Co (0.000, 0.000, 0.000) (multiplicity 1)
P (0.000, 0.500, 0.500) (multiplicity 2)
Au (0.500, 0.500, 0.500) (multiplicity 1)
Cl (0.500, 0.500, 0.000) (multiplicity 1)



Most stable structure: model one